# 1
# Hf2Co2Hg | Alexandria | PBE | relaxed
# Energy relative to the elements, eV/atom: -0.01
data_Hf2Co2Hg
_chemical_formula_sum 'Hf4 Co4 Hg2'
_cell_length_a 4.326
_cell_length_b 4.326
_cell_length_c 9.821
_cell_angle_alpha 90.00
_cell_angle_beta 90.00
_cell_angle_gamma 90.00
_symmetry_space_group_name_H-M 'I 4/m m m'
_symmetry_Int_Tables_number 139
_symmetry_space_group_name_Hall '-I 4 2'
loop_
_atom_site_label
_atom_site_type_symbol
_atom_site_fract_x
_atom_site_fract_y
_atom_site_fract_z
Hf1 Hf 0.000 0.500 0.250
Co1 Co 0.000 0.000 0.112
Hg1 Hg 0.000 0.000 0.500

***

# 2
# ZrPb4Au | Alexandria | PBE | relaxed
# Energy relative to the elements, eV/atom: 0.46
data_ZrPb4Au
_chemical_formula_sum 'Zr4 Pb16 Au4'
_cell_length_a 8.842
_cell_length_b 8.842
_cell_length_c 8.842
_cell_angle_alpha 90.00
_cell_angle_beta 90.00
_cell_angle_gamma 90.00
_symmetry_space_group_name_H-M 'F -4 3 m'
_symmetry_Int_Tables_number 216
_symmetry_space_group_name_Hall 'F -4 2 3'
loop_
_atom_site_label
_atom_site_type_symbol
_atom_site_fract_x
_atom_site_fract_y
_atom_site_fract_z
Zr1 Zr 0.000 0.000 0.000
Pb1 Pb 0.126 0.126 0.374
Au1 Au 0.250 0.250 0.750

***

# 3
# Pm6Si3Sb | Alexandria | PBE | relaxed
# ΔE_f (raw), eV per formula unit: -5.4
data_Pm6Si3Sb
_chemical_formula_sum 'Pm24 Si12 Sb4'
_cell_length_a 10.880
_cell_length_b 14.499
_cell_length_c 7.649
_cell_angle_alpha 90.00
_cell_angle_beta 90.00
_cell_angle_gamma 90.00
_symmetry_space_group_name_H-M 'C m c 21'
_symmetry_Int_Tables_number 36
loop_
_symmetry_equiv_pos_as_xyz
'x,y,z'
'-x,-y,z+1/2'
'-x,y,z'
'x,-y,z+1/2'
'x+1/2,y+1/2,z'
'-x+1/2,-y+1/2,z+1/2'
'-x+1/2,y+1/2,z'
'x+1/2,-y+1/2,z+1/2'
loop_
_atom_site_label
_atom_site_type_symbol
_atom_site_fract_x
_atom_site_fract_y
_atom_site_fract_z
Pm1 Pm 0.000 0.006 0.000
Pm2 Pm 0.000 0.247 0.654
Pm3 Pm 0.182 0.462 0.627
Pm4 Pm 0.187 0.281 0.026
Si1 Si 0.000 0.416 0.905
Si2 Si 0.181 0.110 0.795
Sb1 Sb 0.000 0.172 0.273

***

# 4
# CaZn2SiIr2 | Alexandria | PBE | relaxed
# ΔE_f (raw), eV per formula unit: -1.2
data_CaZn2SiIr2
_chemical_formula_sum 'Ca1 Zn2 Si1 Ir2'
_cell_length_a 4.475
_cell_length_b 4.475
_cell_length_c 5.752
_cell_angle_alpha 90.00
_cell_angle_beta 90.00
_cell_angle_gamma 90.00
_symmetry_space_group_name_H-M 'P 4/m m m'
_symmetry_Int_Tables_number 123
_symmetry_space_group_name_Hall '-P 4 2'
loop_
_atom_site_label
_atom_site_type_symbol
_atom_site_fract_x
_atom_site_fract_y
_atom_site_fract_z
Ca1 Ca 0.000 0.000 0.000
Zn1 Zn 0.500 0.500 0.221
Si1 Si 0.000 0.000 0.500
Ir1 Ir 0.000 0.500 0.500

***

Number 1: size of the total moment 0.0 μB/cell, N(E_F) 0.493 states/eV per atom. Number 2: size of the total moment 0.0 μB/cell, N(E_F) 0.784 states/eV per atom. Number 3: size of the total moment 0.0 μB/cell, N(E_F) 0.683 states/eV per atom. Number 4: size of the total moment 0.0 μB/cell, N(E_F) 0.829 states/eV per atom.